--- a ---
Below is an optimized crystal structure of Zr3PbS, with properties calculated at the PBE level.

Fermi-level density of states = 5.54 states/eV per cell

Lattice parameters (Å, degrees): 5.4318 5.4318 5.4318 90.00 90.00 90.00
With the nearest neighbours (Å) after each atom.
Space group Pm-3m (No. 221)
Asymmetric unit:
Zr  0.0000  0.0000  0.5000 x3  2 Pb 2.72
Pb  0.0000  0.0000  0.0000 x1  6 Zr 2.72
S  0.5000  0.5000  0.5000 x1  12 Zr 3.84



--- b ---
Below is an optimized crystal structure of Zr3PbS, with properties calculated at the PBE level.

Fermi-level density of states = 21.35 states/eV per cell

Lattice parameters (Å, degrees): 6.8987 13.4159 4.8441 90.00 90.00 90.00
With the nearest neighbours (Å) after each atom.
Space group Cmmm (No. 65)
Asymmetric unit:
Zr  0.0000  0.1262  0.0000 x4  2 S 2.43
Zr  0.2095  0.5000  0.5000 x4  2 S 2.50
Zr  0.2500  0.2500  0.5000 x4  2 S 2.53
Pb  0.0000  0.3639  0.0000 x4  11 Zr 3.19-3.45
S  0.0000  0.1115  0.5000 x4  6 Zr 2.43-2.53



Name the most stable of them. b.



--- a ---
Below is an optimized crystal structure of ZrPb3S, with properties calculated at the PBE level.

Fermi-level density of states = 5.00 states/eV per cell

Lattice parameters (Å, degrees): 5.3853 5.3853 5.3853 90.00 90.00 90.00
With the nearest neighbours (Å) after each atom.
Space group Pm-3m (No. 221)
Asymmetric unit:
Zr  0.0000  0.0000  0.0000 x1  12 Pb 3.81
Pb  0.0000  0.5000  0.5000 x3  2 S 2.69
S  0.5000  0.5000  0.5000 x1  6 Pb 2.69



--- b ---
Below is an optimized crystal structure of ZrPb3S, with properties calculated at the PBE level.

Fermi-level density of states = 6.65 states/eV per cell

Lattice parameters (Å, degrees): 5.6825 5.6825 5.6825 90.00 90.00 90.00
With the nearest neighbours (Å) after each atom.
Space group Pm-3m (No. 221)
Asymmetric unit:
Zr  0.0000  0.0000  0.0000 x1  6 Pb 2.84
Pb  0.0000  0.0000  0.5000 x3  2 Zr 2.84
S  0.5000  0.5000  0.5000 x1  12 Pb 4.02



Name the most stable of them. a.



--- a ---
Below is an optimized crystal structure of SbPb2, with properties calculated at the PBE level.

Fermi-level density of states = 5.57 states/eV per cell

Lattice parameters (Å, degrees): 3.9904 3.9904 25.0512 90.00 90.00 90.00
With the nearest neighbours (Å) after each atom.
Space group I4_1/amd (No. 141, origin choice 2)
Asymmetric unit:
Sb  0.0000  0.2500  0.3750 x4  8 Pb 3.29
Pb  0.0000  0.2500  0.8078 x8  4 Sb 3.29, 3 Pb 3.37-3.52



--- b ---
Below is an optimized crystal structure of SbPb2, with properties calculated at the PBE level.

Fermi-level density of states = 7.15 states/eV per cell

Lattice parameters (Å, degrees): 6.3799 6.3799 11.3486 90.00 90.00 120.00
With the nearest neighbours (Å) after each atom.
Space group P6_3/mmc (No. 194)
Asymmetric unit:
Sb  0.3333  0.6667  0.0023 x4  6 Pb 3.39-3.68, 3 Sb 3.68
Pb  0.0000  0.0000  0.0000 x2  6 Pb 3.39, 6 Sb 3.68
Pb  0.1686  0.3373  0.7500 x6  6 Pb 3.15-3.39, 2 Sb 3.39



Name the most stable of them. a.



--- a ---
Below is an optimized crystal structure of SbPb4, with properties calculated at the PBE level.

Fermi-level density of states = 17.51 states/eV per cell

Lattice parameters (Å, degrees): 12.3409 16.6262 6.1116 90.00 90.00 90.00
With the nearest neighbours (Å) after each atom.
Space group Fdd2 (No. 43)
Asymmetric unit:
Sb  0.0000  0.0000  0.0000 x8  8 Pb 3.23-3.59
Pb  0.0367  0.3012  0.5234 x16  2 Sb 3.23-3.34, 8 Pb 3.47-3.61
Pb  0.0409  0.4034  0.0187 x16  9 Pb 3.37-3.58, 2 Sb 3.39-3.59



--- b ---
Below is an optimized crystal structure of SbPb4, with properties calculated at the PBE level.

Fermi-level density of states = 8.56 states/eV per cell

Lattice parameters (Å, degrees): 4.3710 4.3710 17.5199 90.00 90.00 90.00
With the nearest neighbours (Å) after each atom.
Space group I4/mmm (No. 139)
Asymmetric unit:
Sb  0.0000  0.0000  0.0000 x2  8 Pb 3.49
Pb  0.0000  0.0000  0.4080 x4  5 Pb 3.22-3.53, 4 Sb 3.49
Pb  0.0000  0.5000  0.2500 x4  4 Pb 3.09



Name the most stable of them. a.



--- a ---
Below is an optimized crystal structure of SbPb5, with properties calculated at the PBE level.

Fermi-level density of states = 7.64 states/eV per cell

Lattice parameters (Å, degrees): 4.7084 15.2134 5.2082 90.00 90.00 90.00
With the nearest neighbours (Å) after each atom.
Space group Cmmm (No. 65)
Asymmetric unit:
Sb  0.0000  0.0000  0.0000 x2  12 Pb 3.41-3.65
Pb  0.0000  0.1678  0.5000 x4  10 Pb 3.43-3.67, 2 Sb 3.65
Pb  0.0000  0.3380  0.0000 x4  2 Sb 3.41, 10 Pb 3.51-3.67
Pb  0.0000  0.5000  0.5000 x2  8 Pb 3.47-3.59, 4 Sb 3.51



--- b ---
Below is an optimized crystal structure of SbPb5, with properties calculated at the PBE level.

Fermi-level density of states = 19.19 states/eV per cell

Lattice parameters (Å, degrees): 9.2126 9.2126 9.2126 90.00 90.00 90.00
With the nearest neighbours (Å) after each atom.
Space group F-43m (No. 216)
Asymmetric unit:
Sb  0.0000  0.0000  0.0000 x4  16 Pb 3.82-3.99
Pb  0.1251  0.1251  0.3749 x16  6 Pb 3.26
Pb  0.2500  0.2500  0.7500 x4  12 Pb 3.82, 4 Sb 3.99



Name the most stable of them. a.



--- a ---
Below is an optimized crystal structure of SbPb5, with properties calculated at the PBE level.

Fermi-level density of states = 7.09 states/eV per cell

Lattice parameters (Å, degrees): 5.7973 10.7170 5.9797 90.00 90.00 90.00
With the nearest neighbours (Å) after each atom.
Space group Cmmm (No. 65)
Asymmetric unit:
Sb  0.0000  0.0000  0.0000 x2  10 Pb 3.38-3.62
Pb  0.0000  0.1627  0.5000 x4  8 Pb 3.38-3.62, 2 Sb 3.46
Pb  0.0000  0.3380  0.0000 x4  3 Sb 3.38-3.62, 7 Pb 3.46-3.53
Pb  0.0000  0.5000  0.5000 x2  10 Pb 3.38-3.62



--- b ---
Below is an optimized crystal structure of SbPb5, with properties calculated at the PBE level.

Fermi-level density of states = 6.71 states/eV per cell

Lattice parameters (Å, degrees): 6.1691 10.4677 6.2050 90.00 110.85 90.00
With the nearest neighbours (Å) after each atom.
Space group P2_1/m (No. 11)
Asymmetric unit:
Sb  0.0254  0.2500  0.2859 x2  10 Pb 3.36-3.69
Pb  0.0072  0.0812  0.7395 x4  2 Sb 3.36-3.47, 9 Pb 3.40-3.68
Pb  0.4558  0.7500  0.2109 x2  2 Sb 3.44-3.59, 10 Pb 3.46-3.67
Pb  0.4838  0.0862  0.2505 x4  2 Sb 3.38-3.69, 10 Pb 3.43-3.66



Name the most stable of them. b.



--- a ---
Below is an optimized crystal structure of Sb3Pb, with properties calculated at the PBE level.

Fermi-level density of states = 8.27 states/eV per cell

Lattice parameters (Å, degrees): 6.1774 6.1774 6.1774 90.00 90.00 90.00
With the nearest neighbours (Å) after each atom.
Space group Pm-3n (No. 223)
Asymmetric unit:
Sb  0.0000  0.2500  0.5000 x6  2 Sb 3.09, 4 Pb 3.45
Pb  0.0000  0.0000  0.0000 x2  12 Sb 3.45



--- b ---
Below is an optimized crystal structure of Sb3Pb, with properties calculated at the PBE level.

Fermi-level density of states = 2.14 states/eV per cell

Lattice parameters (Å, degrees): 3.4946 4.9399 6.6970 90.00 90.00 90.00
With the nearest neighbours (Å) after each atom.
Space group Pmmm (No. 47)
Asymmetric unit:
Sb  0.0000  0.0000  0.0000 x1  2 Pb 3.35, 10 Sb 3.38-3.49
Sb  0.5000  0.5000  0.2266 x2  5 Sb 3.03-3.38
Pb  0.0000  0.0000  0.5000 x1  10 Sb 3.35-3.54, 2 Pb 3.49



Name the most stable of them. b.



--- a ---
Below is an optimized crystal structure of Sb3Pb, with properties calculated at the PBE level.

Fermi-level density of states = 3.12 states/eV per cell

Lattice parameters (Å, degrees): 4.8534 4.8534 4.8534 90.00 90.00 90.00
With the nearest neighbours (Å) after each atom.
Space group Pm-3m (No. 221)
Asymmetric unit:
Sb  0.0000  0.0000  0.5000 x3  4 Pb 3.43, 8 Sb 3.43
Pb  0.5000  0.5000  0.5000 x1  12 Sb 3.43



--- b ---
Below is an optimized crystal structure of Sb3Pb, with properties calculated at the PBE level.

Fermi-level density of states = 4.47 states/eV per cell

Lattice parameters (Å, degrees): 5.9120 5.9120 5.9120 90.00 90.00 90.00
With the nearest neighbours (Å) after each atom.
Space group Pm-3m (No. 221)
Asymmetric unit:
Sb  0.0000  0.0000  0.5000 x3  2 Pb 2.96
Pb  0.0000  0.0000  0.0000 x1  6 Sb 2.96



--- c ---
Below is an optimized crystal structure of Sb3Pb, with properties calculated at the PBE level.

Fermi-level density of states = 3.78 states/eV per cell

Lattice parameters (Å, degrees): 3.9101 5.3403 10.8681 90.00 90.00 90.00
With the nearest neighbours (Å) after each atom.
Space group Cmmm (No. 65)
Asymmetric unit:
Sb  0.0000  0.0000  0.0000 x2  8 Sb 3.27-3.31
Sb  0.0000  0.5000  0.2408 x4  6 Sb 3.27-3.31, 2 Pb 3.43
Pb  0.0000  0.0000  0.5000 x2  4 Pb 3.31, 4 Sb 3.43



Name the most stable of them. c.